{"formula": "PbN3F", "functional": "GGA-PBE", "state": "relaxed", "cell": [[-2.395, -0.401, -3.686], [1.138, -4.256, -0.276], [-3.529, -1.100, 2.413]], "species": ["N", "N", "F", "Pb", "N"], "fractional_positions": [[0.500, 0.000, 0.000], [0.000, 0.500, 0.000], [0.500, 0.500, 0.500], [0.000, 0.000, 0.000], [0.000, 0.000, 0.500]], "formation_energy_uncorrected_ev_per_atom": 2.251, "volume_a3_per_atom": 17.2}